Entry 1:
LaMgGeAu2: relaxed, GGA-PBE.

The structure in CIF format:
```
data_LaMgGeAu2
_cell_length_a 4.273
_cell_length_b 4.273
_cell_length_c 12.214
_cell_angle_alpha 90.00
_cell_angle_beta 90.00
_cell_angle_gamma 90.00
_space_group_name_H-M_alt 'I -4 m 2'
_space_group_IT_number 119
_space_group_name_Hall 'I -4 -2'
loop_
_atom_site_label
_atom_site_type_symbol
_atom_site_fract_x
_atom_site_fract_y
_atom_site_fract_z
_atom_site_occupancy
La1 La 0.000 0.000 0.000 1
Mg1 Mg 0.000 0.500 0.750 1
Ge1 Ge 0.000 0.500 0.250 1
Au1 Au 0.000 0.000 0.387 1
```

---

Entry 2:
LaMgGe2Au: relaxed, GGA-PBE.

The structure in CIF format:
```
data_LaMgGe2Au
_cell_length_a 4.306
_cell_length_b 4.306
_cell_length_c 11.584
_cell_angle_alpha 90.00
_cell_angle_beta 90.00
_cell_angle_gamma 90.00
_space_group_name_H-M_alt 'I -4 m 2'
_space_group_IT_number 119
_space_group_name_Hall 'I -4 -2'
loop_
_atom_site_label
_atom_site_type_symbol
_atom_site_fract_x
_atom_site_fract_y
_atom_site_fract_z
_atom_site_occupancy
La1 La 0.000 0.000 0.000 1
Mg1 Mg 0.000 0.500 0.250 1
Ge1 Ge 0.000 0.000 0.392 1
Au1 Au 0.000 0.500 0.750 1
```

---

no.,energy (eV for the cell shown),calculated density (kg/m3)
1,-41.753,9380
2,-44.354,7817